Record 1
An optimized crystal structure of K2SrRh. Source: Alexandria via LeMat-Bulk, functional PBE.

Cell and atoms, written as POSCAR:
```
K2SrRh
1.0
3.832 0.000 0.000
0.000 3.832 0.000
0.000 0.000 11.377
K Sr Rh
2 1 1
Direct
0.500 0.500 0.338
0.000 0.000 0.978
0.500 0.500 0.652
0.000 0.000 0.532
```

Computed properties:
The spin magnetization comes out at 0.0 μB/cell. The space group is No. 99. The calculation puts the calculated formation energy at 0.177 eV per atom. The density of states at the Fermi level comes out at 2.01 states/eV/f.u.


Record 2
An optimized crystal structure of K2SrTiRh. Source: Alexandria via LeMat-Bulk, functional PBE.

Cell and atoms, written as POSCAR:
```
K2SrTiRh
1.0
6.659 0.000 0.000
0.000 5.675 0.000
0.000 0.000 6.659
K Rh Ti Sr
2 1 1 1
Direct
0.000 0.000 0.500
0.500 0.000 0.000
0.500 0.500 0.500
0.000 0.500 0.000
0.000 0.000 0.000
```

Computed properties:
The spin magnetization comes out at 3.0 μB/cell. The space group is No. 123. The calculation puts the calculated formation energy at 1.824 eV per atom. The density of states at the Fermi level comes out at 5.69 states/eV/f.u.


Record 3
An optimized crystal structure of K2SrTlRh. Source: Alexandria via LeMat-Bulk, functional PBE.

Cell and atoms, written as POSCAR:
```
K2SrTlRh
1.0
-0.854 1.539 -6.783
-4.955 -0.422 0.528
-0.410 6.811 1.597
K Rh Tl Sr
2 1 1 1
Direct
0.500 0.000 0.000
0.000 0.000 0.500
0.000 0.500 0.000
0.500 0.500 0.500
0.000 0.000 0.000
```

Computed properties:
The spin magnetization comes out at 0.0 μB/cell. The space group is No. 123. The calculation puts the calculated formation energy at 0.631 eV per atom. The density of states at the Fermi level comes out at 4.49 states/eV/f.u.


Record 4
An optimized crystal structure of KSrTl2Rh. Source: Alexandria via LeMat-Bulk, functional PBE.

Cell and atoms, written as POSCAR:
```
KSrTl2Rh
1.0
5.438 0.000 0.000
0.000 5.438 0.000
0.000 0.000 5.612
Sr Tl Rh K
1 2 1 1
Direct
0.000 0.000 0.500
0.000 0.500 0.000
0.500 0.000 0.000
0.000 0.000 0.000
0.500 0.500 0.500
```

Computed properties:
The spin magnetization comes out at 0.0 μB/cell. The space group is No. 123. The calculation puts the calculated formation energy at -0.154 eV per atom. The density of states at the Fermi level comes out at 3.86 states/eV/f.u.


Record 5
An optimized crystal structure of KSrRh2W. Source: Alexandria via LeMat-Bulk, functional PBE.

Cell and atoms, written as POSCAR:
```
KSrRh2W
1.0
4.962 0.000 0.000
0.000 5.096 0.000
0.000 0.000 4.962
Sr K Rh W
1 1 2 1
Direct
0.500 0.500 0.500
0.000 0.000 0.000
0.500 0.000 0.000
0.000 0.000 0.500
0.000 0.500 0.000
```

Computed properties:
The spin magnetization comes out at 4.1 μB/cell. The space group is No. 123. The calculation puts the calculated formation energy at 2.204 eV per atom. The density of states at the Fermi level comes out at 6.46 states/eV/f.u.


Record 6
An optimized crystal structure of KTaRh3. Source: Alexandria via LeMat-Bulk, functional PBE.

Cell and atoms, written as POSCAR:
```
KTaRh3
1.0
4.572 0.000 0.000
0.000 4.572 0.000
0.000 0.000 4.572
Rh Ta K
3 1 1
Direct
0.000 0.000 0.500
0.500 0.000 0.000
0.000 0.500 0.000
0.500 0.500 0.500
0.000 0.000 0.000
```

Computed properties:
The spin magnetization comes out at 0.0 μB/cell. As for the polymorph energy (0 for the lowest one): 1.572 eV per atom. The space group is No. 221. The calculation puts the calculated formation energy at 2.184 eV per atom. The density of states at the Fermi level comes out at 6.44 states/eV/f.u.